Computed, not measured: CuAg2Pt at its PBEsol-relaxed geometry at the meta-GGA SCAN level of DFT.

Properties
The total energy is -37.047 eV/atom. The total magnetic moment is 0.0 Bohr magnetons per cell. For the density of states at the Fermi level, the calculation gives 0.376 states/eV/atom. The crystal system is trigonal. For the formation energy, the calculation gives -0.02 eV per atom. Its calculated volume is 14.88 A^3/atom. Its energy above the most stable polymorph in this dataset is 0.05 eV/f.u.

Structure (CIF):
```
data_CuAg2Pt
_symmetry_space_group_name_H-M 'R 3 m'
_symmetry_Int_Tables_number 160
_symmetry_space_group_name_Hall 'R 3 -2"'
_cell_length_a 2.7621
_cell_length_b 2.7621
_cell_length_c 27.0247
_cell_angle_alpha 90.00
_cell_angle_beta 90.00
_cell_angle_gamma 120.00
loop_
_atom_site_label
_atom_site_type_symbol
_atom_site_fract_x
_atom_site_fract_y
_atom_site_fract_z
Cu1 Cu 0.0000 0.0000 0.0000
Ag1 Ag 0.0000 0.0000 0.2537
Ag2 Ag 0.0000 0.0000 0.4980
Pt1 Pt 0.0000 0.0000 0.7434
```

Computed, not measured: BaCd at its PBEsol-relaxed geometry at the meta-GGA SCAN level of DFT.

Properties
The total energy is -35.360 eV/atom. The total magnetic moment is 0.0 Bohr magnetons per cell. For the density of states at the Fermi level, the calculation gives 0.644 states/eV/atom. The crystal system is cubic. For the formation energy, the calculation gives -0.38 eV per atom. Its calculated volume is 35.83 A^3/atom.

Structure (CIF):
```
data_BaCd
_symmetry_space_group_name_H-M 'P m -3 m'
_symmetry_Int_Tables_number 221
_symmetry_space_group_name_Hall '-P 4 2 3'
_cell_length_a 4.154
_cell_length_b 4.154
_cell_length_c 4.154
_cell_angle_alpha 90.00
_cell_angle_beta 90.00
_cell_angle_gamma 90.00
loop_
_atom_site_label
_atom_site_type_symbol
_atom_site_fract_x
_atom_site_fract_y
_atom_site_fract_z
Ba1 Ba 0.000 0.000 0.000
Cd1 Cd 0.500 0.500 0.500
```

What did the first record say?
Computed, not measured: CuAg2Pt at its PBEsol-relaxed geometry at the meta-GGA SCAN level of DFT.

Properties
The total energy is -37.047 eV/atom. The total magnetic moment is 0.0 Bohr magnetons per cell. For the density of states at the Fermi level, the calculation gives 0.376 states/eV/atom. The crystal system is trigonal. For the formation energy, the calculation gives -0.02 eV per atom. Its calculated volume is 14.88 A^3/atom. Its energy above the most stable polymorph in this dataset is 0.05 eV/f.u.

Structure (CIF):
```
data_CuAg2Pt
_symmetry_space_group_name_H-M 'R 3 m'
_symmetry_Int_Tables_number 160
_symmetry_space_group_name_Hall 'R 3 -2"'
_cell_length_a 2.7621
_cell_length_b 2.7621
_cell_length_c 27.0247
_cell_angle_alpha 90.00
_cell_angle_beta 90.00
_cell_angle_gamma 120.00
loop_
_atom_site_label
_atom_site_type_symbol
_atom_site_fract_x
_atom_site_fract_y
_atom_site_fract_z
Cu1 Cu 0.0000 0.0000 0.0000
Ag1 Ag 0.0000 0.0000 0.2537
Ag2 Ag 0.0000 0.0000 0.4980
Pt1 Pt 0.0000 0.0000 0.7434
```

- The highest calculated volume belongs to which entry?
  BaCd